Record 1
{"formula": "InCuI2N", "functional": "meta-GGA SCAN", "state": "single point on PBEsol structure", "lattice": [[3.712, 0.000, 0.000], [0.000, 5.660, 0.000], [0.000, 0.000, 5.660]], "species": ["I", "I", "N", "Cu", "In"], "fractional_positions": [[0.000, 0.000, 0.500], [0.000, 0.500, 0.000], [0.500, 0.000, 0.000], [0.000, 0.000, 0.000], [0.500, 0.500, 0.500]], "raw_formation_energy_ev_per_atom": 0.45}

=====

Record 2
{"formula": "SrAlN2", "functional": "meta-GGA SCAN", "state": "single point on PBEsol structure", "lattice": [[3.826, 0.000, 0.000], [1.913, 3.313, 0.000], [1.913, 1.104, 6.163]], "species": ["Sr", "Al", "N", "N"], "fractional_positions": [[0.500, 0.500, 0.500], [0.000, 0.000, 0.000], [0.905, 0.905, 0.284], [0.095, 0.095, 0.716]], "raw_formation_energy_ev_per_atom": -0.16}

=====

Record 3
{"formula": "ScTlCl3", "functional": "meta-GGA SCAN", "state": "single point on PBEsol structure", "lattice": [[5.439, 0.000, 0.000], [0.000, 5.439, 0.000], [0.000, 0.000, 5.439]], "species": ["Sc", "Tl", "Cl", "Cl", "Cl"], "fractional_positions": [[0.500, 0.500, 0.500], [0.000, 0.000, 0.000], [0.000, 0.500, 0.000], [0.000, 0.000, 0.500], [0.500, 0.000, 0.000]], "raw_formation_energy_ev_per_atom": -0.42}

=====

Record 4
{"formula": "CaInBr", "functional": "meta-GGA SCAN", "state": "single point on PBEsol structure", "lattice": [[-2.310, -3.319, 0.595], [3.526, -2.841, -2.162], [0.115, 0.807, 4.951]], "species": ["Ca", "Br", "In"], "fractional_positions": [[0.834, 0.333, 0.667], [0.833, 0.000, 0.000], [0.333, 0.667, 0.333]], "raw_formation_energy_ev_per_atom": -0.72, "de_polymorph_mev_per_atom": 168.1}

=====

Record 5
{"formula": "Cs2Ag2Pb", "functional": "meta-GGA SCAN", "state": "single point on PBEsol structure", "lattice": [[4.789, 0.000, 0.000], [0.000, 4.789, 0.000], [-2.395, -2.395, 7.586]], "species": ["Pb", "Cs", "Cs", "Ag", "Ag"], "fractional_positions": [[0.000, 0.000, 0.000], [0.250, 0.750, 0.500], [0.750, 0.250, 0.500], [0.415, 0.415, 0.830], [0.585, 0.585, 0.170]], "ef_ev_per_atom": 0.503, "de_polymorph_mev_per_atom": 448.9}

=====

Record 6
{"formula": "Ba3CaF", "functional": "meta-GGA SCAN", "state": "single point on PBEsol structure", "lattice": [[-2.130, -1.210, -5.248], [-1.689, -5.208, 1.886], [-5.113, 2.225, 1.563]], "species": ["Ca", "Ba", "Ba", "Ba", "F"], "fractional_positions": [[0.500, 0.500, 0.500], [0.000, 0.500, 0.000], [0.000, 0.000, 0.500], [0.500, 0.000, 0.000], [0.000, 0.000, 0.000]], "raw_formation_energy_ev_per_atom": -1.10}

=====

Record 7
{"formula": "Na2Hg2Sb", "functional": "meta-GGA SCAN", "state": "single point on PBEsol structure", "lattice": [[3.349, 0.000, 0.000], [0.000, 8.482, 0.000], [0.000, 0.000, 8.482]], "species": ["Sb", "Sb", "Hg", "Hg", "Hg", "Hg", "Na", "Na", "Na", "Na"], "fractional_positions": [[0.000, 0.000, 0.000], [0.000, 0.500, 0.500], [0.000, 0.377, 0.877], [0.000, 0.877, 0.623], [0.000, 0.623, 0.123], [0.000, 0.123, 0.377], [0.500, 0.175, 0.675], [0.500, 0.675, 0.825], [0.500, 0.825, 0.325], [0.500, 0.325, 0.175]], "raw_formation_energy_ev_per_atom": -0.28}

=====

Record 8
{"formula": "BaOs2Rh", "functional": "meta-GGA SCAN", "state": "single point on PBEsol structure", "lattice": [[-1.382, 0.911, 2.352], [-3.858, -1.618, -1.640], [1.663, -5.796, 1.806]], "species": ["Ba", "Os", "Os", "Rh"], "fractional_positions": [[0.000, 0.500, 0.500], [0.707, 0.000, 0.835], [0.293, 0.000, 0.165], [0.500, 0.500, 0.000]], "ef_ev_per_atom": 1.039}